[1]
Material: Li3Gd
Method: DFT, PBE-GGA
State: relaxed

Structure (extended XYZ):
```
4
Lattice="0.0000 3.6175 3.6175 3.6175 0.0000 3.6175 3.6175 3.6175 0.0000" Properties=species:S:1:pos:R:3 pbc="T T T"
Li 0.0000 0.0000 0.0000
Li 1.8088 1.8088 1.8088
Li 5.4263 5.4263 5.4263
Gd 3.6175 3.6175 3.6175
```

Computed properties:
- Formation energy from the elements: 0.21 eV per atom
- SG: Fm-3m
- Excess energy over the best structure of this formula in the dataset: 0.250 eV per formula unit



[2]
Material: Pr5Ga2Sn
Method: DFT, PBE-GGA
State: relaxed

Structure (extended XYZ):
```
16
Lattice="-4.0655 4.0655 7.2590 4.0655 -4.0655 7.2590 4.0655 4.0655 -7.2590" Properties=species:S:1:pos:R:3 pbc="T T T"
Pr 0.0000 0.0000 0.0000
Pr 5.4479 1.3823 -2.1231
Pr 1.3823 2.6832 -2.1231
Pr 5.4479 1.3823 2.1231
Pr 1.3823 2.6832 2.1231
Pr 0.0000 0.0000 7.2590
Pr 2.6832 1.3823 5.1359
Pr -1.3823 2.6832 5.1359
Pr 2.6832 1.3823 9.3821
Pr -1.3823 2.6832 9.3821
Ga 3.0895 0.9760 0.0000
Ga 3.0895 -0.9760 7.2590
Ga 0.9760 5.0416 0.0000
Ga 0.9760 3.0895 7.2590
Sn 0.0000 0.0000 3.6295
Sn 0.0000 0.0000 10.8886
```

Computed properties:
- Formation energy from the elements: -0.53 eV per atom
- SG: I4/mcm



[3]
Material: Pr4Nd2Hg3O2
Method: DFT, PBE-GGA
State: relaxed

Structure (extended XYZ):
```
11
Lattice="-2.4811 2.4811 12.1646 2.4811 -2.4811 12.1646 2.4811 2.4811 -12.1646" Properties=species:S:1:pos:R:3 pbc="T T T"
Pr 2.4811 0.0000 2.0818
Pr 2.4811 0.0000 10.0828
Pr 0.0000 2.4811 2.0818
Pr 0.0000 2.4811 10.0828
Nd 0.0000 0.0000 4.9162
Nd 0.0000 0.0000 19.4130
Hg 0.0000 0.0000 7.9880
Hg 0.0000 0.0000 12.1646
Hg 0.0000 0.0000 16.3412
O 0.0000 0.0000 2.5559
O 0.0000 0.0000 21.7733
```

Computed properties:
- E_form (uncorrected): -13.23 eV per formula unit
- SG: I4/mmm



[4]
Material: ReIr3
Method: DFT, PBE-GGA
State: relaxed

Structure (extended XYZ):
```
4
Lattice="-1.3775 4.4199 2.3961 1.3775 -4.4199 2.3961 1.3775 4.4199 -2.3961" Properties=species:S:1:pos:R:3 pbc="T T T"
Re 0.0000 0.0000 0.0000
Ir 1.3775 2.1851 0.7992
Ir 0.0000 4.4199 0.0190
Ir 0.0000 2.2348 3.1953
```

Computed properties:
- Formation energy from the elements: -0.09 eV per atom
- SG: Imm2
- Excess energy over the best structure of this formula in the dataset: 0.247 eV per formula unit



Question: Number 2 is which compound?
Answer: Pr5Ga2Sn



Copy entry 4 word for word.
Material: ReIr3
Method: DFT, PBE-GGA
State: relaxed

Structure (extended XYZ):
```
4
Lattice="-1.3775 4.4199 2.3961 1.3775 -4.4199 2.3961 1.3775 4.4199 -2.3961" Properties=species:S:1:pos:R:3 pbc="T T T"
Re 0.0000 0.0000 0.0000
Ir 1.3775 2.1851 0.7992
Ir 0.0000 4.4199 0.0190
Ir 0.0000 2.2348 3.1953
```

Computed properties:
- Formation energy from the elements: -0.09 eV per atom
- SG: Imm2
- Excess energy over the best structure of this formula in the dataset: 0.247 eV per formula unit